No. 1
BeFeSi2 | GGA-PBE | relaxed

Calculated values
Energy relative to the elements, uncorrected = -61 meV/atom
N(E_F) = 1.3 states/eV/cell
Magnetic moment = 0.00 μB/atom

Cell and atoms, written as POSCAR:
```
BeFeSi2
1.0
2.433 -2.444 0.000
2.433 2.444 0.000
-2.430 0.000 3.578
Be Fe Si
1 1 2
direct
0.000 0.000 0.000
0.251 0.749 0.500
0.501 0.499 0.000
0.751 0.249 0.500
```


No. 2
LiErPaFe | GGA-PBE | relaxed

Calculated values
N(E_F) = 3.8 states/eV/cell
Magnetic moment = 0.00 μB/atom
Calculated formation energy = 0.18 eV per atom

Cell and atoms, written as POSCAR:
```
LiErPaFe
1.0
0.000 3.379 3.379
3.379 0.000 3.379
3.379 3.379 0.000
Li Er Pa Fe
1 1 1 1
direct
0.000 0.000 0.000
0.750 0.750 0.750
0.250 0.250 0.250
0.500 0.500 0.500
```


No. 3
IrPbAu | GGA-PBE | relaxed

Calculated values
Distance to the lowest polymorph of the same formula = 0.000 eV per atom
N(E_F) = 2.1 states/eV/cell
Magnetic moment = 0.00 μB/atom
Calculated formation energy = 0.30 eV per atom

Cell and atoms, written as POSCAR:
```
IrPbAu
1.0
0.000 3.208 3.208
3.208 0.000 3.208
3.208 3.208 0.000
Ir Pb Au
1 1 1
direct
0.000 0.000 0.000
0.750 0.750 0.750
0.250 0.250 0.250
```


No. 4
Li2IrAu | GGA-PBE | relaxed

Calculated values
N(E_F) = 2.2 states/eV/cell
Magnetic moment = 0.00 μB/atom
Calculated formation energy = -0.21 eV per atom

Cell and atoms, written as POSCAR:
```
Li2IrAu
1.0
2.676 0.000 0.000
0.000 4.368 0.000
-0.229 0.000 4.998
Li Ir Au
2 1 1
direct
0.205 0.000 0.229
0.795 0.000 0.771
0.500 0.500 0.000
0.000 0.500 0.500
```


No. 5
Pm2Ho5Tl | GGA-PBE | relaxed

Calculated values
N(E_F) = 9.0 states/eV/cell
Magnetic moment = 0.00 μB/atom
Calculated formation energy = -0.06 eV per atom

Cell and atoms, written as POSCAR:
```
Pm2Ho5Tl
1.0
4.790 -7.240 0.000
4.790 7.240 0.000
0.000 0.000 3.546
Pm Ho Tl
2 5 1
direct
0.229 0.771 0.000
0.771 0.229 0.000
0.000 0.000 0.000
0.148 0.390 0.500
0.390 0.148 0.500
0.610 0.852 0.500
0.852 0.610 0.500
0.500 0.500 0.000
```


No. 6
Pr2PuRh | GGA-PBE | relaxed

Calculated values
Distance to the lowest polymorph of the same formula = 0.000 eV per atom
N(E_F) = 7.7 states/eV/cell
Magnetic moment = 1.80 μB/atom
Calculated formation energy = -0.17 eV per atom

Cell and atoms, written as POSCAR:
```
Pr2PuRh
1.0
3.602 0.000 0.000
0.000 3.602 0.000
0.000 0.000 8.579
Pr Pu Rh
2 1 1
direct
0.000 0.000 0.200
0.000 0.000 0.800
0.500 0.500 0.500
0.500 0.500 0.000
```


No. 7
MgSc | GGA-PBE | relaxed

Calculated values
N(E_F) = 10.3 states/eV/cell
Magnetic moment = 0.00 μB/atom
Calculated formation energy = 0.38 eV per atom

Cell and atoms, written as POSCAR:
```
MgSc
1.0
5.835 0.000 0.000
0.000 5.835 0.000
0.000 0.000 5.904
Mg Sc
4 4
direct
0.188 0.188 0.000
0.312 0.688 0.500
0.688 0.312 0.500
0.812 0.812 0.000
0.191 0.191 0.500
0.309 0.691 0.000
0.691 0.309 0.000
0.809 0.809 0.500
```


No. 8
CoWBr2 | GGA-PBE | relaxed

Calculated values
Distance to the lowest polymorph of the same formula = 0.850 eV per atom
Energy relative to the elements, uncorrected = 1032 meV/atom
N(E_F) = 4.1 states/eV/cell
Magnetic moment = 0.51 μB/atom

Cell and atoms, written as POSCAR:
```
CoWBr2
1.0
3.139 0.000 0.000
0.000 4.267 0.000
-0.498 0.000 5.612
Co W Br
1 1 2
direct
0.000 0.000 0.000
0.000 0.000 0.500
0.214 0.500 0.750
0.786 0.500 0.250
```


No. 9
CsGaAs2Se | GGA-PBE | relaxed

Calculated values
Distance to the lowest polymorph of the same formula = 1.231 eV per atom
Energy relative to the elements, uncorrected = 1343 meV/atom
N(E_F) = 5.9 states/eV/cell
Magnetic moment = 0.56 μB/atom

Cell and atoms, written as POSCAR:
```
CsGaAs2Se
1.0
5.992 0.000 0.000
0.000 5.992 0.000
0.000 0.000 6.113
Cs Ga As Se
1 1 2 1
direct
0.000 0.000 0.000
0.500 0.500 0.500
0.000 0.500 0.000
0.500 0.000 0.000
0.000 0.000 0.500
```


No. 10
Y2Zn2Si | GGA-PBE | relaxed

Calculated values
Distance to the lowest polymorph of the same formula = 0.000 eV per atom
Energy relative to the elements, uncorrected = -407 meV/atom
N(E_F) = 2.5 states/eV/cell
Magnetic moment = 0.00 μB/atom

Cell and atoms, written as POSCAR:
```
Y2Zn2Si
1.0
6.811 0.000 0.000
0.000 6.811 0.000
0.000 0.000 4.502
Y Zn Si
4 4 2
direct
0.174 0.326 0.000
0.326 0.826 0.000
0.674 0.174 0.000
0.826 0.674 0.000
0.129 0.629 0.500
0.371 0.129 0.500
0.629 0.871 0.500
0.871 0.371 0.500
0.000 0.000 0.500
0.500 0.500 0.500
```


No. 11
CaTm2Lu | GGA-PBE | relaxed

Calculated values
Distance to the lowest polymorph of the same formula = 0.088 eV per atom
N(E_F) = 5.2 states/eV/cell
Magnetic moment = 0.00 μB/atom
Calculated formation energy = 0.18 eV per atom

Cell and atoms, written as POSCAR:
```
CaTm2Lu
1.0
1.746 1.008 12.320
-1.746 1.008 12.320
0.000 -2.016 12.320
Ca Tm Lu
1 2 1
direct
0.000 0.000 0.000
0.092 0.092 0.092
0.908 0.908 0.908
0.500 0.500 0.500
```


No. 12
YSi2W | GGA-PBE | relaxed

Calculated values
Distance to the lowest polymorph of the same formula = 0.760 eV per atom
Energy relative to the elements, uncorrected = 414 meV/atom
N(E_F) = 3.6 states/eV/cell
Magnetic moment = 0.00 μB/atom

Cell and atoms, written as POSCAR:
```
YSi2W
1.0
1.510 0.872 9.044
-1.510 0.872 9.044
0.000 -1.743 9.044
Y Si W
1 2 1
direct
0.000 0.000 0.000
0.242 0.242 0.242
0.507 0.507 0.507
0.768 0.768 0.768
```


No. 13
ZnAg6Au12 | GGA-PBE | relaxed

Calculated values
Distance to the lowest polymorph of the same formula = 0.058 eV per atom
N(E_F) = 5.4 states/eV/cell
Magnetic moment = 0.00 μB/atom
Calculated formation energy = 0.02 eV per atom

Cell and atoms, written as POSCAR:
```
ZnAg6Au12
1.0
5.720 3.303 3.150
-5.720 3.303 3.150
0.000 -6.605 3.150
Zn Ag Au
1 6 12
direct
0.000 0.000 0.000
0.153 0.193 0.425
0.193 0.425 0.153
0.425 0.153 0.193
0.575 0.847 0.807
0.807 0.575 0.847
0.847 0.807 0.575
0.028 0.767 0.255
0.189 0.619 0.557
0.233 0.745 0.972
0.255 0.028 0.767
0.381 0.443 0.811
0.443 0.811 0.381
0.557 0.189 0.619
0.619 0.557 0.189
0.745 0.972 0.233
0.767 0.255 0.028
0.811 0.381 0.443
0.972 0.233 0.745
```


No. 14
Na2CrCuGe | GGA-PBE | relaxed

Calculated values
N(E_F) = 2.8 states/eV/cell
Magnetic moment = 0.87 μB/atom
Calculated formation energy = 1.04 eV per atom

Cell and atoms, written as POSCAR:
```
Na2CrCuGe
1.0
5.378 0.000 0.000
0.000 5.378 0.000
0.000 0.000 4.706
Na Cr Cu Ge
2 1 1 1
direct
0.000 0.500 0.000
0.500 0.000 0.000
0.000 0.000 0.000
0.000 0.000 0.500
0.500 0.500 0.500
```


No. 15
ZnCdCl | GGA-PBE | relaxed

Calculated values
Distance to the lowest polymorph of the same formula = 0.000 eV per atom
Energy relative to the elements, uncorrected = -295 meV/atom
N(E_F) = 1.3 states/eV/cell
Magnetic moment = 0.00 μB/atom

Cell and atoms, written as POSCAR:
```
ZnCdCl
1.0
15.274 0.000 0.000
0.000 1.689 2.898
0.000 -1.689 2.898
Zn Cd Cl
2 2 2
direct
0.000 0.000 0.000
0.500 0.224 0.224
0.356 0.888 0.888
0.644 0.888 0.888
0.102 0.334 0.334
0.898 0.334 0.334
```


No. 16
Cs2Bi2Pt | GGA-PBE | relaxed

Calculated values
N(E_F) = 21.1 states/eV/cell
Magnetic moment = 0.11 μB/atom
Calculated formation energy = 0.75 eV per atom

Cell and atoms, written as POSCAR:
```
Cs2Bi2Pt
1.0
11.603 0.000 0.000
0.000 11.603 0.000
0.000 0.000 3.275
Cs Bi Pt
4 4 2
direct
0.122 0.378 0.000
0.378 0.878 0.000
0.622 0.122 0.000
0.878 0.622 0.000
0.179 0.679 0.500
0.321 0.179 0.500
0.679 0.821 0.500
0.821 0.321 0.500
0.000 0.000 0.000
0.500 0.500 0.000
```


No. 17
DyZrPtRh | GGA-PBE | relaxed

Calculated values
Distance to the lowest polymorph of the same formula = 0.000 eV per atom
N(E_F) = 2.5 states/eV/cell
Magnetic moment = 0.00 μB/atom
Calculated formation energy = -0.98 eV per atom

Cell and atoms, written as POSCAR:
```
DyZrPtRh
1.0
4.463 0.000 0.000
0.000 1.765 5.121
0.000 -1.765 5.121
Dy Zr Pt Rh
1 1 1 1
direct
0.000 0.000 0.000
0.500 0.280 0.280
0.500 0.557 0.557
0.000 0.736 0.736
```


No. 18
ScBeCu2 | GGA-PBE | relaxed

Calculated values
N(E_F) = 2.2 states/eV/cell
Magnetic moment = 0.00 μB/atom
Calculated formation energy = -0.01 eV per atom

Cell and atoms, written as POSCAR:
```
ScBeCu2
1.0
3.063 0.000 0.000
0.000 3.830 0.000
-1.515 0.000 4.832
Sc Be Cu
1 1 2
direct
0.000 0.000 0.000
0.624 0.500 0.251
0.324 0.500 0.652
0.729 0.000 0.463
```


No. 19
Sc3Cd5 | GGA-PBE | relaxed

Calculated values
Distance to the lowest polymorph of the same formula = 0.079 eV per atom
N(E_F) = 14.3 states/eV/cell
Magnetic moment = 0.04 μB/atom
Calculated formation energy = -0.17 eV per atom

Cell and atoms, written as POSCAR:
```
Sc3Cd5
1.0
5.971 -5.581 0.000
5.971 5.581 0.000
-2.771 0.000 5.328
Sc Cd
6 10
direct
0.043 0.957 0.750
0.172 0.574 0.477
0.426 0.828 0.023
0.574 0.172 0.977
0.828 0.426 0.523
0.957 0.043 0.250
0.089 0.675 0.991
0.194 0.305 0.756
0.305 0.194 0.256
0.325 0.911 0.509
0.463 0.537 0.250
0.537 0.463 0.750
0.675 0.089 0.491
0.695 0.806 0.744
0.806 0.695 0.244
0.911 0.325 0.009
```


No. 20
KZr2Ge | GGA-PBE | relaxed

Calculated values
N(E_F) = 7.6 states/eV/cell
Magnetic moment = 0.00 μB/atom
Calculated formation energy = 0.70 eV per atom

Cell and atoms, written as POSCAR:
```
KZr2Ge
1.0
-2.583 2.583 9.895
2.583 -2.583 9.895
2.583 2.583 -9.895
K Zr Ge
2 4 2
direct
0.000 0.000 0.000
0.750 0.250 0.500
0.316 0.625 0.191
0.375 0.566 0.691
0.434 0.125 0.809
0.875 0.684 0.309
0.250 0.750 0.500
0.500 0.500 0.000
```